A plane-wave DFT calculation with meta-GGA SCAN was carried out for a crystal of LiAsH6O3F6 relaxed with PBEsol.

Space group: P6_3mc, No. 186
Uncorrected energy (eV/atom): -6.64
Spin magnetization (Bohr magnetons per cell): 0.00

extended XYZ file:
```
34
Lattice="-2.812 -1.886 4.228 0.244 -7.670 -3.259 6.045 2.535 5.152" Properties=species:S:1:pos:R:3 pbc="T T T"
O -0.338 -7.361 -0.487
H -0.705 -2.854 4.670
F 0.862 -6.239 4.083
H 1.980 -0.276 7.606
F 1.966 -3.781 1.571
F -1.026 -4.697 3.515
F 2.039 -6.075 0.596
F -0.952 -6.999 2.536
As 1.921 -4.441 -0.069
F 3.548 -0.613 4.909
Li -1.924 -1.291 2.893
H 3.265 -4.699 6.487
H -0.656 -6.442 -0.368
H 0.363 -2.505 2.067
O -0.501 -2.239 1.689
F 0.157 -4.539 0.030
F 1.734 -1.374 3.363
F 3.621 -2.915 3.931
H -0.751 -1.420 5.279
F 3.145 -2.599 6.353
O 2.773 -0.359 8.175
O 3.700 -5.668 2.953
Li -0.518 -0.348 0.779
H 0.519 -7.402 -0.014
H 3.155 -1.235 7.959
O 2.936 -5.482 5.998
F 1.264 -1.063 5.787
H -0.766 -2.978 1.104
H 2.135 -5.173 5.525
H 3.249 -6.257 2.312
As 2.448 -1.982 4.848
O -1.265 -2.052 4.734
F 1.337 -3.358 4.812
H 3.204 -4.824 2.921
```